Material: NaCo3Pb
Method: DFT, GGA-PBE
State: relaxed

POSCAR file:
```
NaCo3Pb
1.0
-3.659 0.238 -3.356
-0.764 -4.887 0.486
-3.276 0.873 3.634
Pb Co Na
1 3 1
direct
0.000 0.000 0.000
0.000 0.000 0.500
0.000 0.500 0.000
0.500 0.000 0.000
0.500 0.500 0.500
```

Properties
Crystal system: cubic
Offset from the most stable computed form in meV/atom: 0

Material: CaTcN2
Method: DFT, GGA-PBE
State: relaxed

POSCAR file:
```
CaTcN2
1.0
3.259 0.000 0.000
0.000 5.781 0.000
0.000 0.000 11.592
N Tc Ca
8 4 4
direct
0.250 0.243 0.450
0.750 0.757 0.550
0.250 0.743 0.050
0.750 0.037 0.241
0.750 0.257 0.950
0.250 0.963 0.759
0.750 0.537 0.259
0.250 0.463 0.741
0.250 0.228 0.855
0.750 0.272 0.355
0.750 0.772 0.145
0.250 0.728 0.645
0.750 0.213 0.615
0.750 0.713 0.885
0.250 0.787 0.385
0.250 0.287 0.115
```

Properties
Formation energy (no corrections) in kJ per mole of atoms: -49.6
Crystal system: orthorhombic
Offset from the most stable computed form in meV/atom: 55

Material: YLuTe3
Method: DFT, GGA-PBE
State: relaxed

POSCAR file:
```
YLuTe3
1.0
-3.689 -3.572 3.287
-0.276 -7.224 -2.504
3.421 -1.989 1.676
Te Lu Y
3 1 1
direct
0.213 0.718 0.625
0.531 0.081 0.944
0.883 0.377 0.296
0.372 0.398 0.285
0.047 0.048 0.960
```

Properties
Formation energy (no corrections) in kJ per mole of atoms: -131.2
Crystal system: orthorhombic
Offset from the most stable computed form in meV/atom: 31

Material: Tb12Ru3Pb5
Method: DFT, GGA-PBE
State: relaxed

POSCAR file:
```
Tb12Ru3Pb5
1.0
15.064 0.000 0.000
-5.021 14.203 0.000
-5.021 -7.101 12.300
Pb Tb Ru
20 48 12
direct
0.500 0.500 0.500
0.000 0.500 0.500
0.375 0.125 0.750
0.625 0.750 0.875
0.500 0.000 0.500
0.375 0.250 0.125
0.500 0.000 0.000
0.750 0.125 0.875
0.500 0.500 0.000
0.000 0.500 0.000
0.250 0.375 0.625
0.125 0.750 0.375
0.875 0.625 0.750
0.750 0.625 0.375
0.000 0.000 0.000
0.625 0.875 0.250
0.125 0.375 0.250
0.000 0.000 0.500
0.250 0.875 0.125
0.875 0.250 0.625
0.890 0.057 0.628
0.390 0.262 0.333
0.872 0.610 0.943
0.167 0.110 0.738
0.333 0.762 0.390
0.890 0.833 0.762
0.872 0.262 0.428
0.928 0.372 0.262
0.072 0.628 0.738
0.167 0.057 0.928
0.943 0.110 0.872
0.557 0.928 0.667
0.667 0.428 0.557
0.762 0.333 0.890
0.057 0.890 0.128
0.943 0.833 0.572
0.557 0.628 0.390
0.110 0.167 0.238
0.443 0.072 0.333
0.443 0.372 0.610
0.738 0.610 0.167
0.128 0.738 0.572
0.128 0.390 0.057
0.238 0.572 0.628
0.572 0.333 0.943
0.390 0.128 0.557
0.667 0.238 0.610
0.262 0.390 0.833
0.072 0.443 0.833
0.428 0.762 0.872
0.057 0.167 0.428
0.738 0.128 0.072
0.372 0.928 0.762
0.262 0.872 0.928
0.610 0.872 0.443
0.833 0.943 0.072
0.833 0.890 0.262
0.928 0.557 0.167
0.428 0.667 0.057
0.762 0.428 0.372
0.110 0.943 0.372
0.333 0.572 0.443
0.238 0.667 0.110
0.610 0.738 0.667
0.372 0.443 0.110
0.628 0.072 0.238
0.628 0.557 0.890
0.572 0.238 0.128
0.250 0.125 0.375
0.750 0.375 0.125
0.375 0.625 0.250
0.875 0.125 0.250
0.750 0.875 0.625
0.375 0.750 0.625
0.625 0.375 0.750
0.250 0.625 0.875
0.125 0.875 0.750
0.625 0.250 0.375
0.875 0.750 0.125
0.125 0.250 0.875
```

Properties
Crystal system: cubic

Material: GaSiSe2Br
Method: DFT, GGA-PBE
State: relaxed

POSCAR file:
```
GaSiSe2Br
1.0
5.025 0.000 0.000
0.000 5.025 0.000
0.000 0.000 5.019
Se Ga Br Si
2 1 1 1
direct
0.000 0.500 0.000
0.500 0.000 0.000
0.000 0.000 0.000
0.000 0.000 0.500
0.500 0.500 0.500
```

Properties
Formation energy (no corrections) in kJ per mole of atoms: 37.0
Crystal system: tetragonal
Offset from the most stable computed form in meV/atom: 387

Material: Ce2Sm6Dy3Er
Method: DFT, GGA-PBE
State: relaxed

POSCAR file:
```
Ce2Sm6Dy3Er
1.0
6.199 -0.001 -0.001
-3.099 5.369 -0.001
-1.036 -1.793 11.680
Sm Dy Er Ce
6 3 1 2
direct
0.749 0.749 0.249
0.419 0.084 0.249
0.916 0.581 0.751
0.251 0.251 0.751
0.581 0.916 0.751
0.084 0.419 0.249
0.500 0.500 0.500
0.166 0.834 0.500
0.834 0.166 0.500
0.000 0.000 0.000
0.333 0.667 0.000
0.667 0.333 0.000
```

Properties
Crystal system: monoclinic

Material: Ho6GeP3S2
Method: DFT, GGA-PBE
State: relaxed

POSCAR file:
```
Ho6GeP3S2
1.0
3.971 0.000 0.000
0.000 7.989 0.292
-1.986 -2.296 8.372
S Ho P Ge
2 6 3 1
direct
0.169 0.338 0.338
0.831 0.662 0.662
0.668 0.079 0.336
0.335 0.411 0.671
0.001 0.746 0.001
0.665 0.589 0.329
0.999 0.254 0.999
0.332 0.921 0.664
0.500 0.500 0.000
0.832 0.168 0.664
0.168 0.832 0.336
0.500 0.000 0.000
```

Properties
Formation energy (no corrections) in kJ per mole of atoms: -160.3
Crystal system: monoclinic

Material: V2ZnAg
Method: DFT, GGA-PBE
State: relaxed

POSCAR file:
```
V2ZnAg
1.0
7.220 0.000 0.000
0.000 7.220 0.000
3.610 3.610 2.442
V Ag Zn
4 2 2
direct
0.875 0.868 0.750
0.618 0.125 0.250
0.132 0.625 0.250
0.375 0.382 0.750
0.750 0.250 0.500
0.000 0.000 0.000
0.250 0.750 0.500
0.500 0.500 0.000
```

Properties
Crystal system: tetragonal

Number 1: volume 122.8 Å³/cell, VASP energy -0.286 Ry/atom. Number 2: volume 218.4 Å³/cell, VASP energy -0.571 Ry/atom. Number 3: volume 175.0 Å³/cell, VASP energy -0.400 Ry/atom. Number 4: volume 2631.7 Å³/cell, VASP energy -0.362 Ry/atom. Number 5: volume 126.7 Å³/cell, VASP energy -0.223 Ry/atom. Number 6: volume 388.6 Å³/cell, VASP energy -0.355 Ry/atom. Number 7: volume 268.3 Å³/cell, VASP energy -0.469 Ry/atom. Number 8: volume 127.3 Å³/cell, VASP energy -0.361 Ry/atom.